No. 1
# Pr2W3O12

A PBEsol-optimized structure of Pr2W3O12 (SCAN, Alexandria).

Computed properties:
N(E_F), states/eV per atom: 0.000
Calculated volume, Å³ per cell: 498.4
Total magnetization, Bohr magnetons per cell: 0.00

Unit cell a=7.015 b=7.015 c=11.595 alpha=100.84 beta=100.84 gamma=111.95
Sites, in units of the cell vectors:
Pr 0.041 0.288 0.094
Pr 0.288 0.041 0.594
Pr 0.712 0.959 0.406
Pr 0.959 0.712 0.906
W 0.133 0.867 0.250
W 0.252 0.462 0.453
W 0.462 0.252 0.953
W 0.538 0.748 0.047
W 0.748 0.538 0.547
W 0.867 0.133 0.750
O 0.083 0.663 0.111
O 0.090 0.190 0.461
O 0.108 0.458 0.306
O 0.118 0.207 0.719
O 0.190 0.090 0.961
O 0.207 0.118 0.219
O 0.231 0.661 0.561
O 0.337 0.917 0.389
O 0.339 0.769 0.939
O 0.400 0.475 0.072
O 0.458 0.108 0.806
O 0.475 0.400 0.572
O 0.525 0.600 0.428
O 0.542 0.892 0.194
O 0.600 0.525 0.928
O 0.661 0.231 0.061
O 0.663 0.083 0.611
O 0.769 0.339 0.439
O 0.793 0.882 0.781
O 0.810 0.910 0.039
O 0.882 0.793 0.281
O 0.892 0.542 0.694
O 0.910 0.810 0.539
O 0.917 0.337 0.889

No. 2
# Pr2Zr2O7

A PBEsol-optimized structure of Pr2Zr2O7 (SCAN, Alexandria).

Computed properties:
N(E_F), states/eV per atom: 0.000
Calculated volume, Å³ per cell: 305.2
Total magnetization, Bohr magnetons per cell: 0.00

Unit cell a=7.557 b=7.557 c=7.557 alpha=60.00 beta=60.00 gamma=60.00
Sites, in units of the cell vectors:
Pr 0.000 0.000 0.000
Pr 0.000 0.000 0.500
Pr 0.000 0.500 0.000
Pr 0.500 0.000 0.000
Zr 0.000 0.500 0.500
Zr 0.500 0.000 0.500
Zr 0.500 0.500 0.000
Zr 0.500 0.500 0.500
O 0.125 0.125 0.125
O 0.166 0.166 0.584
O 0.166 0.584 0.166
O 0.166 0.584 0.584
O 0.416 0.416 0.834
O 0.416 0.834 0.416
O 0.416 0.834 0.834
O 0.584 0.166 0.166
O 0.584 0.166 0.584
O 0.584 0.584 0.166
O 0.834 0.416 0.416
O 0.834 0.416 0.834
O 0.834 0.834 0.416
O 0.875 0.875 0.875

No. 3
# PtO2

A PBEsol-optimized structure of PtO2 (SCAN, Alexandria).

Computed properties:
N(E_F), states/eV per atom: 0.000
Calculated volume, Å³ per cell: 74.4
Total magnetization, Bohr magnetons per cell: 0.00

Unit cell a=3.123 b=3.123 c=8.813 alpha=90.00 beta=90.00 gamma=120.00
Sites, in units of the cell vectors:
Pt 0.333 0.667 0.000
Pt 0.667 0.333 0.500
O 0.000 0.000 0.394
O 0.000 0.000 0.894
O 0.333 0.667 0.606
O 0.667 0.333 0.106

No. 4
# PtO2

A PBEsol-optimized structure of PtO2 (SCAN, Alexandria).

Computed properties:
N(E_F), states/eV per atom: 0.100
Calculated volume, Å³ per cell: 118.6
Total magnetization, Bohr magnetons per cell: 0.00

Unit cell a=4.913 b=4.913 c=4.913 alpha=90.00 beta=90.00 gamma=90.00
Sites, in units of the cell vectors:
Pt 0.000 0.000 0.000
Pt 0.000 0.500 0.500
Pt 0.500 0.000 0.500
Pt 0.500 0.500 0.000
O 0.155 0.655 0.845
O 0.155 0.845 0.345
O 0.345 0.155 0.845
O 0.345 0.345 0.345
O 0.655 0.655 0.655
O 0.655 0.845 0.155
O 0.845 0.155 0.655
O 0.845 0.345 0.155

No. 5
# PtO2

A PBEsol-optimized structure of PtO2 (SCAN, Alexandria).

Computed properties:
N(E_F), states/eV per atom: 0.291
Calculated volume, Å³ per cell: 65.4
Total magnetization, Bohr magnetons per cell: 0.00

Unit cell a=4.512 b=4.512 c=3.212 alpha=90.00 beta=90.00 gamma=90.00
Sites, in units of the cell vectors:
Pt 0.000 0.000 0.000
Pt 0.500 0.500 0.500
O 0.190 0.190 0.500
O 0.310 0.690 0.000
O 0.690 0.310 0.000
O 0.810 0.810 0.500

No. 6
# PtO2

A PBEsol-optimized structure of PtO2 (SCAN, Alexandria).

Computed properties:
N(E_F), states/eV per atom: 0.000
Calculated volume, Å³ per cell: 36.7
Total magnetization, Bohr magnetons per cell: 0.00

Unit cell a=3.124 b=3.124 c=4.342 alpha=90.00 beta=90.00 gamma=120.00
Sites, in units of the cell vectors:
Pt 0.000 0.000 0.000
O 0.333 0.667 0.786
O 0.667 0.333 0.214

No. 7
# PtO3

A PBEsol-optimized structure of PtO3 (SCAN, Alexandria).

Computed properties:
N(E_F), states/eV per atom: 0.781
Calculated volume, Å³ per cell: 83.5
Total magnetization, Bohr magnetons per cell: 0.01

Unit cell a=5.021 b=5.021 c=5.021 alpha=57.09 beta=57.09 gamma=57.09
Sites, in units of the cell vectors:
Pt 0.000 0.000 0.000
Pt 0.500 0.500 0.500
O 0.071 0.750 0.429
O 0.250 0.571 0.929
O 0.429 0.071 0.750
O 0.571 0.929 0.250
O 0.750 0.429 0.071
O 0.929 0.250 0.571

No. 8
# PtO3

A PBEsol-optimized structure of PtO3 (SCAN, Alexandria).

Computed properties:
N(E_F), states/eV per atom: 0.509
Calculated volume, Å³ per cell: 167.8
Total magnetization, Bohr magnetons per cell: 4.23

Unit cell a=4.924 b=7.062 c=4.827 alpha=90.00 beta=90.00 gamma=90.00
Sites, in units of the cell vectors:
Pt 0.000 0.000 0.000
Pt 0.000 0.500 0.000
Pt 0.500 0.000 0.500
Pt 0.500 0.500 0.500
O 0.057 0.250 0.157
O 0.148 0.079 0.644
O 0.148 0.421 0.644
O 0.352 0.579 0.144
O 0.352 0.921 0.144
O 0.443 0.750 0.657
O 0.557 0.250 0.343
O 0.648 0.079 0.856
O 0.648 0.421 0.856
O 0.852 0.579 0.356
O 0.852 0.921 0.356
O 0.943 0.750 0.843

No. 9
# RbPt2O

A PBEsol-optimized structure of RbPt2O (SCAN, Alexandria).

Computed properties:
N(E_F), states/eV per atom: 0.241
Calculated volume, Å³ per cell: 173.4
Total magnetization, Bohr magnetons per cell: 0.00

Unit cell a=7.041 b=7.041 c=7.041 alpha=134.74 beta=134.74 gamma=65.93
Sites, in units of the cell vectors:
Rb 0.375 0.625 0.750
Rb 0.625 0.375 0.250
Pt 0.000 0.000 0.000
Pt 0.000 0.000 0.500
Pt 0.000 0.500 0.000
Pt 0.500 0.000 0.500
O 0.125 0.875 0.250
O 0.875 0.125 0.750

No. 10
# PtRhO3

A PBEsol-optimized structure of PtRhO3 (SCAN, Alexandria).

Computed properties:
N(E_F), states/eV per atom: 0.613
Calculated volume, Å³ per cell: 56.2
Total magnetization, Bohr magnetons per cell: 3.10

Unit cell a=3.831 b=3.831 c=3.831 alpha=90.00 beta=90.00 gamma=90.00
Sites, in units of the cell vectors:
Pt 0.000 0.000 0.000
Rh 0.500 0.500 0.500
O 0.000 0.500 0.500
O 0.500 0.000 0.500
O 0.500 0.500 0.000

No. 11
# RuPtO2

A PBEsol-optimized structure of RuPtO2 (SCAN, Alexandria).

Computed properties:
N(E_F), states/eV per atom: 0.599
Calculated volume, Å³ per cell: 105.9
Total magnetization, Bohr magnetons per cell: 1.33

Unit cell a=5.615 b=5.615 c=5.615 alpha=128.35 beta=128.35 gamma=76.06
Sites, in units of the cell vectors:
Ru 0.000 0.000 0.000
Ru 0.750 0.250 0.500
Pt 0.250 0.750 0.500
Pt 0.500 0.500 0.000
O 0.081 0.625 0.956
O 0.375 0.331 0.456
O 0.669 0.125 0.044
O 0.875 0.919 0.544

No. 12
# SnPtSO2

A PBEsol-optimized structure of SnPtSO2 (SCAN, Alexandria).

Computed properties:
N(E_F), states/eV per atom: 0.837
Calculated volume, Å³ per cell: 75.1
Total magnetization, Bohr magnetons per cell: 0.00

Unit cell a=3.989 b=3.989 c=4.718 alpha=90.00 beta=90.00 gamma=90.00
Sites, in units of the cell vectors:
Sn 0.000 0.000 0.000
Pt 0.500 0.500 0.500
S 0.500 0.500 0.000
O 0.000 0.500 0.500
O 0.500 0.000 0.500

No. 13
# Sb2TePtO

A PBEsol-optimized structure of Sb2TePtO (SCAN, Alexandria).

Computed properties:
N(E_F), states/eV per atom: 0.669
Calculated volume, Å³ per cell: 100.6
Total magnetization, Bohr magnetons per cell: 0.00
Polymorph energy (0 for the lowest one), meV/atom: 0.0

Unit cell a=4.604 b=4.604 c=4.748 alpha=90.00 beta=90.00 gamma=90.00
Sites, in units of the cell vectors:
Sb 0.000 0.500 0.000
Sb 0.500 0.000 0.000
Te 0.000 0.000 0.500
Pt 0.500 0.500 0.500
O 0.000 0.000 0.000

No. 14
# Sb2TePtO

A PBEsol-optimized structure of Sb2TePtO (SCAN, Alexandria).

Computed properties:
N(E_F), states/eV per atom: 0.694
Calculated volume, Å³ per cell: 140.8
Total magnetization, Bohr magnetons per cell: 2.26
Polymorph energy (0 for the lowest one), meV/atom: 448.3

Unit cell a=5.127 b=5.127 c=5.355 alpha=90.00 beta=90.00 gamma=90.00
Sites, in units of the cell vectors:
Sb 0.000 0.500 0.000
Sb 0.500 0.000 0.000
Te 0.000 0.000 0.500
Pt 0.000 0.000 0.000
O 0.500 0.500 0.500

No. 15
# ScPtO2

A PBEsol-optimized structure of ScPtO2 (SCAN, Alexandria).

Computed properties:
N(E_F), states/eV per atom: 0.564
Calculated volume, Å³ per cell: 44.0
Total magnetization, Bohr magnetons per cell: 1.02

Unit cell a=3.963 b=3.963 c=3.963 alpha=60.00 beta=60.00 gamma=60.00
Sites, in units of the cell vectors:
Sc 0.000 0.000 0.000
Pt 0.500 0.500 0.500
O 0.250 0.250 0.250
O 0.750 0.750 0.750

No. 16
# Sc3PtO

A PBEsol-optimized structure of Sc3PtO (SCAN, Alexandria).

Computed properties:
N(E_F), states/eV per atom: 1.186
Calculated volume, Å³ per cell: 78.6
Total magnetization, Bohr magnetons per cell: 0.00

Unit cell a=4.283 b=4.283 c=4.283 alpha=90.00 beta=90.00 gamma=90.00
Sites, in units of the cell vectors:
Sc 0.000 0.000 0.500
Sc 0.000 0.500 0.000
Sc 0.500 0.000 0.000
Pt 0.500 0.500 0.500
O 0.000 0.000 0.000

No. 17
# SiPtO2

A PBEsol-optimized structure of SiPtO2 (SCAN, Alexandria).

Computed properties:
N(E_F), states/eV per atom: 0.264
Calculated volume, Å³ per cell: 56.0
Total magnetization, Bohr magnetons per cell: 0.44

Unit cell a=9.430 b=9.430 c=9.430 alpha=16.07 beta=16.07 gamma=16.07
Sites, in units of the cell vectors:
Si 0.000 0.000 0.000
Pt 0.500 0.500 0.500
O 0.366 0.366 0.366
O 0.634 0.634 0.634

No. 18
# Sm2Pt2O7

A PBEsol-optimized structure of Sm2Pt2O7 (SCAN, Alexandria).

Computed properties:
N(E_F), states/eV per atom: 0.000
Calculated volume, Å³ per cell: 272.1
Total magnetization, Bohr magnetons per cell: 0.00

Unit cell a=7.274 b=7.274 c=7.274 alpha=60.00 beta=60.00 gamma=60.00
Sites, in units of the cell vectors:
Sm 0.000 0.000 0.000
Sm 0.000 0.000 0.500
Sm 0.000 0.500 0.000
Sm 0.500 0.000 0.000
Pt 0.000 0.500 0.500
Pt 0.500 0.000 0.500
Pt 0.500 0.500 0.000
Pt 0.500 0.500 0.500
O 0.125 0.125 0.125
O 0.163 0.163 0.587
O 0.163 0.587 0.163
O 0.163 0.587 0.587
O 0.413 0.413 0.837
O 0.413 0.837 0.413
O 0.413 0.837 0.837
O 0.587 0.163 0.163
O 0.587 0.163 0.587
O 0.587 0.587 0.163
O 0.837 0.413 0.413
O 0.837 0.413 0.837
O 0.837 0.837 0.413
O 0.875 0.875 0.875

No. 19
# Sm2ZnPtO6

A PBEsol-optimized structure of Sm2ZnPtO6 (SCAN, Alexandria).

Computed properties:
N(E_F), states/eV per atom: 0.000
Calculated volume, Å³ per cell: 237.8
Total magnetization, Bohr magnetons per cell: 0.00

Unit cell a=5.358 b=5.780 c=9.339 alpha=90.00 beta=124.69 gamma=90.00
Sites, in units of the cell vectors:
Sm 0.227 0.076 0.251
Sm 0.227 0.424 0.751
Sm 0.773 0.576 0.249
Sm 0.773 0.924 0.749
Zn 0.500 0.000 0.000
Zn 0.500 0.500 0.500
Pt 0.000 0.000 0.500
Pt 0.000 0.500 0.000
O 0.125 0.200 0.943
O 0.125 0.300 0.443
O 0.254 0.692 0.946
O 0.254 0.808 0.446
O 0.361 0.038 0.748
O 0.361 0.462 0.248
O 0.639 0.538 0.752
O 0.639 0.962 0.252
O 0.746 0.192 0.554
O 0.746 0.308 0.054
O 0.875 0.700 0.557
O 0.875 0.800 0.057

No. 20
# SnPt3O

A PBEsol-optimized structure of SnPt3O (SCAN, Alexandria).

Computed properties:
N(E_F), states/eV per atom: 0.683
Calculated volume, Å³ per cell: 79.2
Total magnetization, Bohr magnetons per cell: 0.00

Unit cell a=4.295 b=4.295 c=4.295 alpha=90.00 beta=90.00 gamma=90.00
Sites, in units of the cell vectors:
Sn 0.000 0.000 0.000
Pt 0.000 0.500 0.500
Pt 0.500 0.000 0.500
Pt 0.500 0.500 0.000
O 0.500 0.500 0.500

No. 21
# Sr2PtO

A PBEsol-optimized structure of Sr2PtO (SCAN, Alexandria).

Computed properties:
N(E_F), states/eV per atom: 0.000
Calculated volume, Å³ per cell: 192.8
Total magnetization, Bohr magnetons per cell: 0.00

Unit cell a=6.333 b=6.333 c=6.333 alpha=113.60 beta=113.60 gamma=101.49
Sites, in units of the cell vectors:
Sr 0.057 0.625 0.932
Sr 0.375 0.307 0.432
Sr 0.693 0.125 0.068
Sr 0.875 0.943 0.568
Pt 0.250 0.750 0.500
Pt 0.500 0.500 0.000
O 0.000 0.000 0.000
O 0.750 0.250 0.500

No. 22
# SrPt3O4

A PBEsol-optimized structure of SrPt3O4 (SCAN, Alexandria).

Computed properties:
N(E_F), states/eV per atom: 0.091
Calculated volume, Å³ per cell: 199.4
Total magnetization, Bohr magnetons per cell: 0.00

Unit cell a=5.843 b=5.843 c=5.843 alpha=90.00 beta=90.00 gamma=90.00
Sites, in units of the cell vectors:
Sr 0.000 0.000 0.000
Sr 0.500 0.500 0.500
Pt 0.000 0.250 0.500
Pt 0.000 0.750 0.500
Pt 0.250 0.500 0.000
Pt 0.500 0.000 0.250
Pt 0.500 0.000 0.750
Pt 0.750 0.500 0.000
O 0.250 0.250 0.250
O 0.250 0.250 0.750
O 0.250 0.750 0.250
O 0.250 0.750 0.750
O 0.750 0.250 0.250
O 0.750 0.250 0.750
O 0.750 0.750 0.250
O 0.750 0.750 0.750

For each record above, in turn, the calculated energy relative to the elements, uncorrected values are -2804.2, -3790.0, -628.4, -635.1, -646.9, -629.4, -197.2, -195.0, -342.4, 297.6, 223.7, -208.8, 326.8, 775.1, -1194.4, -1972.3, -1784.5, -2239.1, -2492.0, 452.2, -1673.4, -1226.3 meV per atom.